Entry 1:
This record from Alexandria via LeMat-Bulk describes a relaxed Ac3MnTl4S8 crystal. The functional is PBE-GGA.

**Total magnetic moment**: 4.00 μB per formula unit
**Raw formation energy**: -1158 meV/atom
**Volume**: 29.8 A^3/atom

Cell and atoms, written as CIF:
```
data_Ac3MnTl4S8
_chemical_formula_sum 'Ac3 Mn1 Tl4 S8'
_symmetry_space_group_name_H-M 'P 1'
_symmetry_Int_Tables_number 1
_cell_length_a 8.411
_cell_length_b 8.979
_cell_length_c 8.610
_cell_angle_alpha 118.18
_cell_angle_beta 119.24
_cell_angle_gamma 90.00
loop_
_symmetry_equiv_pos_as_xyz
'x,y,z'
loop_
_atom_site_label
_atom_site_type_symbol
_atom_site_fract_x
_atom_site_fract_y
_atom_site_fract_z
Ac1 Ac 0.500 0.500 0.000
Ac2 Ac 0.500 0.500 0.500
Ac3 Ac 0.000 0.500 0.500
Mn1 Mn 0.000 0.500 0.000
Tl1 Tl 0.500 0.000 0.000
Tl2 Tl 0.500 0.000 0.500
Tl3 Tl 0.000 0.000 0.000
Tl4 Tl 0.000 0.000 0.500
S1 S 0.194 0.680 0.977
S2 S 0.261 0.737 0.522
S3 S 0.266 0.285 0.531
S4 S 0.783 0.680 0.977
S5 S 0.217 0.320 0.023
S6 S 0.734 0.715 0.469
S7 S 0.739 0.263 0.478
S8 S 0.806 0.320 0.023
```

***

Entry 2:
This record from Alexandria via LeMat-Bulk describes a relaxed YSn2Pd8 crystal. The functional is PBE-GGA.

**Total magnetic moment**: 0.00 μB per formula unit
**E**: -5.574 eV/atom
**Volume**: 18.1 A^3/atom

Cell and atoms, written as CIF:
```
data_YSn2Pd8
_chemical_formula_sum 'Y1 Sn2 Pd8'
_symmetry_space_group_name_H-M 'P 1'
_symmetry_Int_Tables_number 1
_cell_length_a 4.849
_cell_length_b 7.246
_cell_length_c 7.246
_cell_angle_alpha 117.59
_cell_angle_beta 104.01
_cell_angle_gamma 104.01
loop_
_symmetry_equiv_pos_as_xyz
'x,y,z'
loop_
_atom_site_label
_atom_site_type_symbol
_atom_site_fract_x
_atom_site_fract_y
_atom_site_fract_z
Y1 Y 0.500 0.000 0.000
Sn1 Sn 0.000 0.310 0.690
Sn2 Sn 0.000 0.690 0.310
Pd1 Pd 0.871 0.910 0.678
Pd2 Pd 0.871 0.678 0.910
Pd3 Pd 0.314 0.586 0.586
Pd4 Pd 0.500 0.776 0.224
Pd5 Pd 0.500 0.224 0.776
Pd6 Pd 0.686 0.414 0.414
Pd7 Pd 0.129 0.322 0.090
Pd8 Pd 0.129 0.090 0.322
```

***

Entry 3:
This record from Alexandria via LeMat-Bulk describes a relaxed NdPuAg2 crystal. The functional is PBE-GGA.

**Total magnetic moment**: 5.93 μB per formula unit
**Energy above the most stable polymorph in this dataset**: 0.00 kcal/mol of atoms
**Volume**: 25.5 A^3/atom

Cell and atoms, written as CIF:
```
data_NdPuAg2
_chemical_formula_sum 'Nd1 Pu1 Ag2'
_symmetry_space_group_name_H-M 'P 1'
_symmetry_Int_Tables_number 1
_cell_length_a 3.404
_cell_length_b 5.475
_cell_length_c 5.475
_cell_angle_alpha 90.00
_cell_angle_beta 90.00
_cell_angle_gamma 90.00
loop_
_symmetry_equiv_pos_as_xyz
'x,y,z'
loop_
_atom_site_label
_atom_site_type_symbol
_atom_site_fract_x
_atom_site_fract_y
_atom_site_fract_z
Nd1 Nd 0.500 0.000 0.000
Ag1 Ag 0.000 0.000 0.500
Ag2 Ag 0.000 0.500 0.000
Pu1 Pu 0.500 0.500 0.500
```

***

Entry 4:
This record from Alexandria via LeMat-Bulk describes a relaxed PmYTmAl crystal. The functional is PBE-GGA.

**Total magnetic moment**: 0.00 μB per formula unit
**Energy above the most stable polymorph in this dataset**: 0.00 kcal/mol of atoms
**Volume**: 28.0 A^3/atom

Cell and atoms, written as CIF:
```
data_PmYTmAl
_chemical_formula_sum 'Pm1 Y1 Tm1 Al1'
_symmetry_space_group_name_H-M 'P 1'
_symmetry_Int_Tables_number 1
_cell_length_a 3.524
_cell_length_b 3.524
_cell_length_c 9.033
_cell_angle_alpha 90.00
_cell_angle_beta 90.00
_cell_angle_gamma 90.00
loop_
_symmetry_equiv_pos_as_xyz
'x,y,z'
loop_
_atom_site_label
_atom_site_type_symbol
_atom_site_fract_x
_atom_site_fract_y
_atom_site_fract_z
Pm1 Pm 0.000 0.000 0.076
Y1 Y 0.500 0.500 0.780
Tm1 Tm 0.500 0.500 0.361
Al1 Al 0.000 0.000 0.567
```

***

Entry 5:
This record from Alexandria via LeMat-Bulk describes a relaxed HoAlZn4 crystal. The functional is PBE-GGA.

**Total magnetic moment**: 0.00 μB per formula unit
**Energy above the most stable polymorph in this dataset**: 1.22 kcal/mol of atoms
**Volume**: 18.8 A^3/atom

Cell and atoms, written as CIF:
```
data_HoAlZn4
_chemical_formula_sum 'Ho2 Al2 Zn8'
_symmetry_space_group_name_H-M 'P 1'
_symmetry_Int_Tables_number 1
_cell_length_a 4.328
_cell_length_b 6.672
_cell_length_c 8.099
_cell_angle_alpha 90.00
_cell_angle_beta 105.50
_cell_angle_gamma 90.00
loop_
_symmetry_equiv_pos_as_xyz
'x,y,z'
loop_
_atom_site_label
_atom_site_type_symbol
_atom_site_fract_x
_atom_site_fract_y
_atom_site_fract_z
Ho1 Ho 0.380 0.750 0.760
Ho2 Ho 0.620 0.250 0.240
Al1 Al 0.158 0.750 0.315
Al2 Al 0.842 0.250 0.685
Zn1 Zn 0.239 0.424 0.479
Zn2 Zn 0.761 0.576 0.521
Zn3 Zn 0.239 0.076 0.479
Zn4 Zn 0.761 0.924 0.521
Zn5 Zn 0.566 0.750 0.132
Zn6 Zn 0.434 0.250 0.868
Zn7 Zn 0.000 0.500 0.000
Zn8 Zn 0.000 0.000 0.000
```

***

Entry 6:
This record from Alexandria via LeMat-Bulk describes a relaxed Ce2NpPd crystal. The functional is PBE-GGA.

**Total magnetic moment**: 3.61 μB per formula unit
**E**: -7.647 eV/atom
**Volume**: 21.9 A^3/atom

Cell and atoms, written as CIF:
```
data_Ce2NpPd
_chemical_formula_sum 'Ce2 Np1 Pd1'
_symmetry_space_group_name_H-M 'P 1'
_symmetry_Int_Tables_number 1
_cell_length_a 3.132
_cell_length_b 5.285
_cell_length_c 5.285
_cell_angle_alpha 90.00
_cell_angle_beta 90.00
_cell_angle_gamma 90.00
loop_
_symmetry_equiv_pos_as_xyz
'x,y,z'
loop_
_atom_site_label
_atom_site_type_symbol
_atom_site_fract_x
_atom_site_fract_y
_atom_site_fract_z
Np1 Np 0.500 0.500 0.500
Pd1 Pd 0.500 0.000 0.000
Ce1 Ce 0.000 0.000 0.500
Ce2 Ce 0.000 0.500 0.000
```

***

Entry 7:
This record from Alexandria via LeMat-Bulk describes a relaxed PuNiRu crystal. The functional is PBE-GGA.

**Total magnetic moment**: 4.01 μB per formula unit
**Energy above the most stable polymorph in this dataset**: 7.06 kcal/mol of atoms
**Volume**: 16.7 A^3/atom

Cell and atoms, written as CIF:
```
data_PuNiRu
_chemical_formula_sum 'Pu1 Ni1 Ru1'
_symmetry_space_group_name_H-M 'P 1'
_symmetry_Int_Tables_number 1
_cell_length_a 3.547
_cell_length_b 3.547
_cell_length_c 4.716
_cell_angle_alpha 112.09
_cell_angle_beta 112.09
_cell_angle_gamma 90.00
loop_
_symmetry_equiv_pos_as_xyz
'x,y,z'
loop_
_atom_site_label
_atom_site_type_symbol
_atom_site_fract_x
_atom_site_fract_y
_atom_site_fract_z
Ru1 Ru 0.267 0.267 0.535
Pu1 Pu 0.957 0.957 0.914
Ni1 Ni 0.626 0.626 0.251
```

***

Entry 8:
This record from Alexandria via LeMat-Bulk describes a relaxed TeWCl2 crystal. The functional is PBE-GGA.

**Total magnetic moment**: 0.01 μB per formula unit
**Energy above the most stable polymorph in this dataset**: 13.65 kcal/mol of atoms
**Raw formation energy**: 310 meV/atom
**Volume**: 23.2 A^3/atom

Cell and atoms, written as CIF:
```
data_TeWCl2
_chemical_formula_sum 'Te1 W1 Cl2'
_symmetry_space_group_name_H-M 'P 1'
_symmetry_Int_Tables_number 1
_cell_length_a 3.034
_cell_length_b 3.034
_cell_length_c 10.066
_cell_angle_alpha 90.00
_cell_angle_beta 90.00
_cell_angle_gamma 90.00
loop_
_symmetry_equiv_pos_as_xyz
'x,y,z'
loop_
_atom_site_label
_atom_site_type_symbol
_atom_site_fract_x
_atom_site_fract_y
_atom_site_fract_z
Te1 Te 0.500 0.500 0.250
W1 W 0.500 0.500 0.750
Cl1 Cl 0.000 0.000 0.898
Cl2 Cl 0.000 0.000 0.602
```

***

Which value of total magnetic moment does entry 7 give? 4.01 μB per formula unit

***

What is the total magnetic moment in the fifth record? 0.00 μB per formula unit